Compound: Er4CuBi2
Source: Alexandria
Functional: GGA-PBE
Structure: relaxed

Results
calculated density	9.84	g/cm³
ΔE_f	-0.372	eV/atom

Cell lengths 7.0185, 6.4654, 8.9752 Å; angles 90.00, 107.54, 90.00 degrees
Element x y z (fractional)
Er: 0.5092 0.4990 0.2209
Er: 0.0641 0.7500 0.8434
Er: 0.9359 0.2500 0.1566
Er: 0.5092 0.0010 0.2209
Er: 0.8798 0.2500 0.5527
Er: 0.4908 0.9990 0.7791
Er: 0.4908 0.5010 0.7791
Er: 0.1202 0.7500 0.4473
Cu: 0.1878 0.7500 0.1657
Cu: 0.8122 0.2500 0.8343
Bi: 0.7904 0.7500 0.0725
Bi: 0.2096 0.2500 0.9275
Bi: 0.3047 0.2500 0.4572
Bi: 0.6953 0.7500 0.5428